Entry 1:
Material: PdSe2Cl8
Method: DFT, PBE
State: optimized geometry

Cell: 6.8569 6.8569 9.5551 Å, 94.95 94.95 61.12°
Last column: nearest neighbours and their distance in Å.
Fractional positions:
Pd 0.0000 0.0000 0.0000  4 Cl 2.30
Se 0.2117 0.2117 0.3372  2 Cl 2.14-2.25
Se 0.7883 0.7883 0.6628  2 Cl 2.14-2.25
Cl 0.1168 0.6586 0.8819  1 Pd 2.30
Cl 0.2646 0.2646 0.5702  1 Se 2.25
Cl 0.3414 0.8832 0.1181  1 Pd 2.30
Cl 0.3764 0.3764 0.2617  1 Se 2.14
Cl 0.6236 0.6236 0.7383  1 Se 2.14
Cl 0.6586 0.1168 0.8819  1 Pd 2.30
Cl 0.7354 0.7354 0.4298  1 Se 2.25
Cl 0.8832 0.3414 0.1181  1 Pd 2.30

Calculated values
- E_form (uncorrected) (eV/atom) = -0.25
- crystal system = monoclinic
- total DFT energy (no corrections) (eV per atom) = -2.69
- ρ (kg/m³) = 2325
- magnetization (μB per atom) = 0.000
- space group = C2/m

=====

Entry 2:
Material: Ac2TbPuO6
Method: DFT, PBE
State: optimized geometry

Cell: 6.0889 6.2951 10.6796 Å, 90.00 124.57 90.00°
Last column: nearest neighbours and their distance in Å.
Fractional positions:
Ac 0.2312 0.0496 0.2465  4 O 2.48-2.60
Ac 0.2312 0.4504 0.7465  4 O 2.48-2.60
Ac 0.7688 0.5496 0.2535  4 O 2.48-2.60
Ac 0.7688 0.9504 0.7535  4 O 2.48-2.60
Tb 0.5000 0.0000 0.0000  6 O 2.28-2.32
Tb 0.5000 0.5000 0.5000  6 O 2.28-2.32
Pu 0.0000 0.0000 0.5000  6 O 2.33-2.39
Pu 0.0000 0.5000 0.0000  6 O 2.33-2.39
O 0.1350 0.1936 0.9386  1 Tb 2.28, 1 Pu 2.33, 1 Ac 2.49
O 0.1350 0.3064 0.4386  1 Tb 2.28, 1 Pu 2.33, 1 Ac 2.49
O 0.2312 0.7028 0.9278  1 Tb 2.31, 1 Pu 2.33, 1 Ac 2.50
O 0.2312 0.7972 0.4278  1 Tb 2.31, 1 Pu 2.33, 1 Ac 2.50
O 0.3786 0.0599 0.7538  1 Tb 2.32, 1 Pu 2.39, 1 Ac 2.48
O 0.3786 0.4401 0.2538  1 Tb 2.32, 1 Pu 2.39, 1 Ac 2.48
O 0.6214 0.5599 0.7462  1 Tb 2.32, 1 Pu 2.39, 1 Ac 2.48
O 0.6214 0.9401 0.2462  1 Tb 2.32, 1 Pu 2.39, 1 Ac 2.48
O 0.7688 0.2028 0.5722  1 Tb 2.31, 1 Pu 2.33, 1 Ac 2.50
O 0.7688 0.2972 0.0722  1 Tb 2.31, 1 Pu 2.33, 1 Ac 2.50
O 0.8650 0.6936 0.5614  1 Tb 2.28, 1 Pu 2.33, 1 Ac 2.49
O 0.8650 0.8064 0.0614  1 Tb 2.28, 1 Pu 2.33, 1 Ac 2.49

Calculated values
- E_form (uncorrected) (eV/atom) = -3.24
- crystal system = monoclinic
- total DFT energy (no corrections) (eV per atom) = -8.94
- ρ (kg/m³) = 9388
- magnetization (μB per atom) = 0.500
- space group = P2_1/c